Entry a
The following is a DFT calculation (PBE) of a geometry-optimized NbBi2F2 structure.

The total magnetization is 1.084 Bohr magnetons per cell. The value obtained for the calculated volume is 21.09 Å³ per atom.

It has space group P4/mbm (No. 127), with a = 8.192 Å, b = 8.192 Å, c = 3.143 Å, α = 90.00°, β = 90.00° and γ = 90.00°. The inequivalent atoms are Nb at (0.000, 0.000, 0.000), Bi at (0.234, 0.266, 0.000) and F at (0.111, 0.611, 0.500).



Entry b
The following is a DFT calculation (PBE) of a geometry-optimized NbBi2F2 structure.

The total magnetization is 0.000 Bohr magnetons per cell. The value obtained for the calculated volume is 18.73 Å³ per atom.

It has space group I4/mmm (No. 139), with a = 3.636 Å, b = 3.636 Å, c = 14.168 Å, α = 90.00°, β = 90.00° and γ = 90.00°. The inequivalent atoms are Nb at (0.000, 0.000, 0.000), Bi at (0.000, 0.000, 0.378) and F at (0.000, 0.500, 0.250).



Result of the stability comparison: entry a is the least stable of them.